# 1
DFT (PBE) results for FeCCl2 after structural relaxation.

## Properties
Its energy above the most stable polymorph in this dataset is 0.091 eV per atom. As for the crystal system: tetragonal. The value obtained for the density of states at the Fermi level is 6.8 states/eV/cell. The uncorrected formation energy is 5.4 eV per formula unit. The spin magnetization is 0.500 μB/atom.

a = 6.126 Å, b = 6.126 Å, c = 9.356 Å
α = 90.00°, β = 90.00°, γ = 90.00°
Space group I-42d (No. 122)
Unique sites:
Fe  0.000  0.000  0.000
C  0.000  0.000  0.500
Cl  0.202  0.250  0.125

=====

# 2
DFT (PBE) results for Cd2AgAs after structural relaxation.

## Properties
As for the crystal system: monoclinic. As for the formation energy: 99 meV per atom. The value obtained for the density of states at the Fermi level is 2.2 states/eV/cell. The spin magnetization is 0.000 μB/atom.

a = 10.323 Å, b = 3.040 Å, c = 5.254 Å
α = 90.00°, β = 97.35°, γ = 90.00°
Space group C2/m (No. 12)
Unique sites:
Cd  0.245  0.000  0.245
Ag  0.000  0.500  0.000
As  0.000  0.000  0.500

=====

# 3
DFT (PBE) results for Hf2ZnH after structural relaxation.

## Properties
Its energy above the most stable polymorph in this dataset is 0.000 eV per atom. As for the crystal system: triclinic. The value obtained for the density of states at the Fermi level is 5.0 states/eV/cell. The spin magnetization is 0.000 μB/atom.

a = 3.207 Å, b = 5.248 Å, c = 7.561 Å
α = 93.64°, β = 102.18°, γ = 90.11°
Space group P1 (No. 1)
Unique sites:
Hf  0.000  0.000  0.000
Hf  0.152  0.455  0.300
Hf  0.681  0.968  0.361
Hf  0.834  0.580  0.663
Zn  0.344  0.100  0.685
Zn  0.488  0.492  0.973
H  0.116  0.816  0.231
H  0.717  0.342  0.433

=====

# 4
DFT (PBE) results for TiCuHRu2 after structural relaxation.

## Properties
Its energy above the most stable polymorph in this dataset is 0.000 eV per atom. As for the crystal system: tetragonal. The value obtained for the density of states at the Fermi level is 3.3 states/eV/cell. The spin magnetization is 0.001 μB/atom.

a = 3.975 Å, b = 3.975 Å, c = 3.636 Å
α = 90.00°, β = 90.00°, γ = 90.00°
Space group P4/mmm (No. 123)
Unique sites:
Ti  0.000  0.000  0.000
Cu  0.500  0.500  0.000
H  0.500  0.500  0.500
Ru  0.000  0.500  0.500

=====

Question: The highest spin magnetization belongs to which entry?
Answer: FeCCl2

=====

Question: spin magnetization of number 2 (Cd2AgAs)?
Answer: 0.000 μB/atom